Computed, not measured: crystalline Li3FeOF3 at its relaxed geometry at the PBE with a Hubbard U level of DFT.

The structure in CIF format:
```
data_Li3FeOF3
_cell_length_a 5.959
_cell_length_b 8.597
_cell_length_c 5.935
_cell_angle_alpha 90.00
_cell_angle_beta 90.00
_cell_angle_gamma 90.00
_symmetry_space_group_name_H-M 'I m m a'
_symmetry_Int_Tables_number 74
_symmetry_space_group_name_Hall '-I 2b 2'
loop_
_atom_site_label
_atom_site_fract_x
_atom_site_fract_y
_atom_site_fract_z
Li1 0.000 0.000 0.000
Li2 0.000 0.000 0.500
Li3 0.250 0.250 0.250
Fe1 0.250 0.250 0.750
O1 0.000 0.250 0.530
F1 0.000 0.250 0.026
F2 0.250 0.010 0.250
```

Calculated values
Total magnetization, μB per atom: 0.496
Calculated total energy, eV per atom: -5.202
E above lowest polymorph, meV/atom: 10